Entry 1:
# Ti2NbIn, optimized geometry, DFT PBE-GGA
data_Ti2NbIn
_symmetry_space_group_name_H-M 'I -4 2 d'
_symmetry_Int_Tables_number 122
_symmetry_space_group_name_Hall 'I -4 2bw'
_cell_length_a 3.9894
_cell_length_b 3.9894
_cell_length_c 19.8363
_cell_angle_alpha 90.00
_cell_angle_beta 90.00
_cell_angle_gamma 90.00
loop_
_atom_site_label
_atom_site_type_symbol
_atom_site_fract_x
_atom_site_fract_y
_atom_site_fract_z
Ti1 Ti 0.2374 0.2500 0.1250
Nb1 Nb 0.0000 0.0000 0.0000
In1 In 0.0000 0.0000 0.5000
# - Fermi-level density of states (states/eV per cell) = 14.9
# - VASP energy (Ry per atom) = -0.49558
# - formation energy (eV/f.u.) = 1.6
# - magnetization (μB/cell) = 0.000

***

Entry 2:
# TiNbIn, optimized geometry, DFT PBE-GGA
data_TiNbIn
_symmetry_space_group_name_H-M 'I 4/m m m'
_symmetry_Int_Tables_number 139
_symmetry_space_group_name_Hall '-I 4 2'
_cell_length_a 3.9972
_cell_length_b 3.9972
_cell_length_c 14.9048
_cell_angle_alpha 90.00
_cell_angle_beta 90.00
_cell_angle_gamma 90.00
loop_
_atom_site_label
_atom_site_type_symbol
_atom_site_fract_x
_atom_site_fract_y
_atom_site_fract_z
Ti1 Ti 0.0000 0.0000 0.1578
Nb1 Nb 0.0000 0.5000 0.0000
In1 In 0.0000 0.0000 0.3489
# - Fermi-level density of states (states/eV per cell) = 14.5
# - energy above the lowest structure with this stoichiometry (meV per atom) = 134
# - VASP energy (Ry per atom) = -0.50469
# - formation energy (eV/f.u.) = 0.1
# - magnetization (μB/cell) = 0.000

***

Entry 3:
# Ti2NbIn, optimized geometry, DFT PBE-GGA
data_Ti2NbIn
_symmetry_space_group_name_H-M 'R -3 m'
_symmetry_Int_Tables_number 166
_symmetry_space_group_name_Hall '-R 3 2"'
_cell_length_a 3.0720
_cell_length_b 3.0720
_cell_length_c 28.0894
_cell_angle_alpha 90.00
_cell_angle_beta 90.00
_cell_angle_gamma 120.00
loop_
_atom_site_label
_atom_site_type_symbol
_atom_site_fract_x
_atom_site_fract_y
_atom_site_fract_z
Ti1 Ti 0.0000 0.0000 0.2457
Nb1 Nb 0.0000 0.0000 0.5000
In1 In 0.0000 0.0000 0.0000
# - Fermi-level density of states (states/eV per cell) = 14.3
# - VASP energy (Ry per atom) = -0.52161
# - formation energy (eV/f.u.) = 0.2
# - magnetization (μB/cell) = 0.000

***

Entry 4:
# Ti6NbIn3, optimized geometry, DFT PBE-GGA
data_Ti6NbIn3
_symmetry_space_group_name_H-M 'P 1 21/m 1'
_symmetry_Int_Tables_number 11
_cell_length_a 8.1609
_cell_length_b 4.7123
_cell_length_c 10.0500
_cell_angle_alpha 90.00
_cell_angle_beta 106.07
_cell_angle_gamma 90.00
loop_
_symmetry_equiv_pos_as_xyz
'x,y,z'
'-x,-y,-z'
'-x,y+1/2,-z'
'x,-y+1/2,z'
loop_
_atom_site_label
_atom_site_type_symbol
_atom_site_fract_x
_atom_site_fract_y
_atom_site_fract_z
Ti1 Ti 0.0425 0.2500 0.3870
Ti2 Ti 0.1257 0.7500 0.1887
Ti3 Ti 0.1565 0.2500 0.6956
Ti4 Ti 0.2288 0.2500 0.9847
Ti5 Ti 0.3382 0.7500 0.7961
Ti6 Ti 0.4491 0.2500 0.5946
Nb1 Nb 0.0526 0.7500 0.8973
In1 In 0.2346 0.7500 0.4986
In2 In 0.3408 0.2500 0.2878
In3 In 0.4479 0.7500 0.1011
# - Fermi-level density of states (states/eV per cell) = 22.4
# - energy above the lowest structure with this stoichiometry (meV per atom) = 0
# - VASP energy (Ry per atom) = -0.49121
# - formation energy (eV/f.u.) = -1.2
# - magnetization (μB/cell) = 3.670

***

Entry 5:
# TiNb3In, optimized geometry, DFT PBE-GGA
data_TiNb3In
_symmetry_space_group_name_H-M 'C 1 2/m 1'
_symmetry_Int_Tables_number 12
_cell_length_a 14.3030
_cell_length_b 4.7468
_cell_length_c 5.8108
_cell_angle_alpha 90.00
_cell_angle_beta 108.68
_cell_angle_gamma 90.00
loop_
_symmetry_equiv_pos_as_xyz
'x,y,z'
'-x,-y,-z'
'-x,y,-z'
'x,-y,z'
'x+1/2,y+1/2,z'
'-x+1/2,-y+1/2,-z'
'-x+1/2,y+1/2,-z'
'x+1/2,-y+1/2,z'
loop_
_atom_site_label
_atom_site_type_symbol
_atom_site_fract_x
_atom_site_fract_y
_atom_site_fract_z
Ti1 Ti 0.2113 0.0000 0.3127
Nb1 Nb 0.1027 0.5000 0.3838
Nb2 Nb 0.1054 0.5000 0.8855
Nb3 Nb 0.2101 0.0000 0.8062
In1 In 0.0000 0.0000 0.0000
In2 In 0.0000 0.0000 0.5000
# - Fermi-level density of states (states/eV per cell) = 19.7
# - energy above the lowest structure with this stoichiometry (meV per atom) = 0
# - VASP energy (Ry per atom) = -0.60057
# - formation energy (eV/f.u.) = 0.0
# - magnetization (μB/cell) = 0.000

***

Entry 6:
# Ti6NbIn3, optimized geometry, DFT PBE-GGA
data_Ti6NbIn3
_symmetry_space_group_name_H-M 'F m -3 m'
_symmetry_Int_Tables_number 225
_symmetry_space_group_name_Hall '-F 4 2 3'
_cell_length_a 9.8295
_cell_length_b 9.8295
_cell_length_c 9.8295
_cell_angle_alpha 90.00
_cell_angle_beta 90.00
_cell_angle_gamma 90.00
loop_
_atom_site_label
_atom_site_type_symbol
_atom_site_fract_x
_atom_site_fract_y
_atom_site_fract_z
Ti1 Ti 0.0000 0.0000 0.2405
Nb1 Nb 0.0000 0.0000 0.0000
In1 In 0.0000 0.0000 0.5000
In2 In 0.2500 0.2500 0.2500
# - Fermi-level density of states (states/eV per cell) = 59.6
# - energy above the lowest structure with this stoichiometry (meV per atom) = 966
# - VASP energy (Ry per atom) = -0.42022
# - formation energy (eV/f.u.) = 8.5
# - magnetization (μB/cell) = 14.093

***

What is the formula in the sixth record?
Ti6NbIn3